{
  "formula": "Cd2ReI2",
  "functional": "GGA-PBE",
  "state": "relaxed",
  "lattice_angstrom": [[6.292, 0.000, 0.000], [0.000, 6.292, 0.000], [3.146, 3.146, 4.226]],
  "species": ["I", "I", "Re", "Cd", "Cd"],
  "fractional_positions": [[0.750, 0.250, 0.500], [0.250, 0.750, 0.500], [0.000, 0.000, 0.000], [0.339, 0.339, 0.321], [0.661, 0.661, 0.679]],
  "total_magnetization_mub_per_atom": 0.992,
  "energy_ev_per_atom": -2.49,
  "vol_a3_per_atom": 33.47,
  "polymorph_energy_ev_per_atom": 0.0057,
  "spacegroup": "I4/mmm (139)",
  "crystal_system": "tetragonal",
  "dos_ef_per_ev_cell": 0.48
}